Here is Ba7In2Pd2 after structural relaxation from Alexandria. Energies are from GGA-PBE.

Geometry as POSCAR:
```
Ba7In2Pd2
1.0
4.584 -6.424 0.000
4.584 6.424 0.000
0.000 0.000 8.126
Ba In Pd
7 2 2
direct
0.000 0.000 0.000
0.000 0.500 0.260
0.000 0.500 0.740
0.500 0.000 0.260
0.500 0.000 0.740
0.500 0.500 0.249
0.500 0.500 0.751
0.161 0.161 0.500
0.839 0.839 0.500
0.295 0.705 0.000
0.705 0.295 0.000
```

Calculated values
Electronic total energy (eV/cell): -32.9
Formation energy from the elements (eV per atom): -0.326
Space-group type: No. 65
Magnetization (μB/f.u.): 0.00
V (Å³/cell): 479
DOS(E_F) (states/eV/f.u.): 10.39